Record 1
Below is SmGaNiIr3 after structural relaxation, with properties calculated at the PBE level.

```
data_SmGaNiIr3
_cell_length_a 5.4033
_cell_length_b 5.4033
_cell_length_c 4.0063
_cell_angle_alpha 90.00
_cell_angle_beta 90.00
_cell_angle_gamma 120.00
_space_group_name_H-M_alt 'P 1'
_space_group_IT_number 1
loop_
_space_group_symop_operation_xyz
'x,y,z'
loop_
_atom_site_label
_atom_site_type_symbol
_atom_site_fract_x
_atom_site_fract_y
_atom_site_fract_z
Sm1 Sm 0.0000 0.0000 0.0000
Ga1 Ga 0.6667 0.3333 0.0000
Ni1 Ni 0.3333 0.6667 0.0000
Ir1 Ir 0.0056 0.5028 0.5000
Ir2 Ir 0.4972 0.5028 0.5000
Ir3 Ir 0.4972 0.9944 0.5000
```

Computed properties:
uncorrected energy = -42.82 eV/cell
symmetry = P-6m2
volume = 16.883 Å³ per atom

***

Record 2
Below is TbGa2Ni2Ir after structural relaxation, with properties calculated at the PBE level.

```
data_TbGa2Ni2Ir
_cell_length_a 5.3880
_cell_length_b 5.3880
_cell_length_c 3.8556
_cell_angle_alpha 90.00
_cell_angle_beta 90.00
_cell_angle_gamma 123.08
_space_group_name_H-M_alt 'P 1'
_space_group_IT_number 1
loop_
_space_group_symop_operation_xyz
'x,y,z'
loop_
_atom_site_label
_atom_site_type_symbol
_atom_site_fract_x
_atom_site_fract_y
_atom_site_fract_z
Tb1 Tb 0.0000 0.0000 0.0000
Ga1 Ga 0.3250 0.6750 0.0000
Ga2 Ga 0.6750 0.3250 0.0000
Ni1 Ni 0.0000 0.5000 0.5000
Ni2 Ni 0.5000 0.0000 0.5000
Ir1 Ir 0.5000 0.5000 0.5000
```

Computed properties:
uncorrected energy = -34.52 eV/cell
symmetry = Cmmm
volume = 15.631 Å³ per atom

***

Record 3
Below is TbGaNi3Ir after structural relaxation, with properties calculated at the PBE level.

```
data_TbGaNi3Ir
_cell_length_a 5.0942
_cell_length_b 5.0942
_cell_length_c 4.0505
_cell_angle_alpha 90.00
_cell_angle_beta 90.00
_cell_angle_gamma 120.00
_space_group_name_H-M_alt 'P 1'
_space_group_IT_number 1
loop_
_space_group_symop_operation_xyz
'x,y,z'
loop_
_atom_site_label
_atom_site_type_symbol
_atom_site_fract_x
_atom_site_fract_y
_atom_site_fract_z
Tb1 Tb 0.0000 0.0000 0.0000
Ga1 Ga 0.6667 0.3333 0.0000
Ni1 Ni 0.5013 0.0027 0.5000
Ni2 Ni 0.5013 0.4987 0.5000
Ni3 Ni 0.9973 0.4987 0.5000
Ir1 Ir 0.3333 0.6667 0.0000
```

Computed properties:
uncorrected energy = -35.96 eV/cell
symmetry = P-6m2
volume = 15.172 Å³ per atom

***

Record 4
Below is GaTcNiIr after structural relaxation, with properties calculated at the PBE level.

```
data_GaTcNiIr
_cell_length_a 4.2657
_cell_length_b 4.2657
_cell_length_c 4.2657
_cell_angle_alpha 60.00
_cell_angle_beta 60.00
_cell_angle_gamma 60.00
_space_group_name_H-M_alt 'P 1'
_space_group_IT_number 1
loop_
_space_group_symop_operation_xyz
'x,y,z'
loop_
_atom_site_label
_atom_site_type_symbol
_atom_site_fract_x
_atom_site_fract_y
_atom_site_fract_z
Ga1 Ga 0.0000 0.0000 0.0000
Tc1 Tc 0.7500 0.7500 0.7500
Ni1 Ni 0.2500 0.2500 0.2500
Ir1 Ir 0.5000 0.5000 0.5000
```

Computed properties:
uncorrected energy = -27.97 eV/cell
symmetry = F-43m
volume = 13.722 Å³ per atom

***

Record 5
Below is ZnGa2NiIr4 after structural relaxation, with properties calculated at the PBE level.

```
data_ZnGa2NiIr4
_cell_length_a 4.2844
_cell_length_b 4.2844
_cell_length_c 6.0031
_cell_angle_alpha 90.00
_cell_angle_beta 90.00
_cell_angle_gamma 90.00
_space_group_name_H-M_alt 'P 1'
_space_group_IT_number 1
loop_
_space_group_symop_operation_xyz
'x,y,z'
loop_
_atom_site_label
_atom_site_type_symbol
_atom_site_fract_x
_atom_site_fract_y
_atom_site_fract_z
Zn1 Zn 0.0000 0.0000 0.0000
Ga1 Ga 0.0000 0.0000 0.5000
Ga2 Ga 0.5000 0.5000 0.0000
Ni1 Ni 0.5000 0.5000 0.5000
Ir1 Ir 0.0000 0.5000 0.2542
Ir2 Ir 0.0000 0.5000 0.7458
Ir3 Ir 0.5000 0.0000 0.2542
Ir4 Ir 0.5000 0.0000 0.7458
```

Computed properties:
uncorrected energy = -50.27 eV/cell
symmetry = P4/mmm
volume = 13.774 Å³ per atom

***

Record 6
Below is Zr3Ga3NiIr2 after structural relaxation, with properties calculated at the PBE level.

```
data_Zr3Ga3NiIr2
_cell_length_a 7.1652
_cell_length_b 7.1652
_cell_length_c 3.4441
_cell_angle_alpha 90.00
_cell_angle_beta 90.00
_cell_angle_gamma 120.00
_space_group_name_H-M_alt 'P 1'
_space_group_IT_number 1
loop_
_space_group_symop_operation_xyz
'x,y,z'
loop_
_atom_site_label
_atom_site_type_symbol
_atom_site_fract_x
_atom_site_fract_y
_atom_site_fract_z
Zr1 Zr 0.0000 0.5999 0.0000
Zr2 Zr 0.4001 0.4001 0.0000
Zr3 Zr 0.5999 0.0000 0.0000
Ga1 Ga 0.0000 0.2538 0.5000
Ga2 Ga 0.2538 0.0000 0.5000
Ga3 Ga 0.7462 0.7462 0.5000
Ni1 Ni 0.0000 0.0000 0.0000
Ir1 Ir 0.3333 0.6667 0.5000
Ir2 Ir 0.6667 0.3333 0.5000
```

Computed properties:
uncorrected energy = -65.10 eV/cell
symmetry = P-62m
volume = 17.017 Å³ per atom

***

Record 7
Below is Np2Ga8Ir after structural relaxation, with properties calculated at the PBE level.

```
data_Np2Ga8Ir
_cell_length_a 4.3123
_cell_length_b 4.3123
_cell_length_c 11.1084
_cell_angle_alpha 90.00
_cell_angle_beta 90.00
_cell_angle_gamma 90.00
_space_group_name_H-M_alt 'P 1'
_space_group_IT_number 1
loop_
_space_group_symop_operation_xyz
'x,y,z'
loop_
_atom_site_label
_atom_site_type_symbol
_atom_site_fract_x
_atom_site_fract_y
_atom_site_fract_z
Np1 Np 0.0000 0.0000 0.1914
Np2 Np 0.0000 0.0000 0.8086
Ga1 Ga 0.0000 0.5000 0.0000
Ga2 Ga 0.0000 0.5000 0.3755
Ga3 Ga 0.0000 0.5000 0.6245
Ga4 Ga 0.5000 0.0000 0.0000
Ga5 Ga 0.5000 0.0000 0.3755
Ga6 Ga 0.5000 0.0000 0.6245
Ga7 Ga 0.5000 0.5000 0.1923
Ga8 Ga 0.5000 0.5000 0.8077
Ir1 Ir 0.0000 0.0000 0.5000
```

Computed properties:
uncorrected energy = -62.51 eV/cell
symmetry = P4/mmm
volume = 18.779 Å³ per atom

***

Record 8
Below is Np2GaIr3 after structural relaxation, with properties calculated at the PBE level.

```
data_Np2GaIr3
_cell_length_a 5.0955
_cell_length_b 5.0955
_cell_length_c 5.0955
_cell_angle_alpha 66.31
_cell_angle_beta 66.31
_cell_angle_gamma 66.31
_space_group_name_H-M_alt 'P 1'
_space_group_IT_number 1
loop_
_space_group_symop_operation_xyz
'x,y,z'
loop_
_atom_site_label
_atom_site_type_symbol
_atom_site_fract_x
_atom_site_fract_y
_atom_site_fract_z
Np1 Np 0.1200 0.1200 0.1200
Np2 Np 0.8800 0.8800 0.8800
Ga1 Ga 0.5000 0.5000 0.5000
Ir1 Ir 0.0000 0.5000 0.5000
Ir2 Ir 0.5000 0.0000 0.5000
Ir3 Ir 0.5000 0.5000 0.0000
```

Computed properties:
uncorrected energy = -58.49 eV/cell
symmetry = R-3m
volume = 17.714 Å³ per atom

***

Record 9
Below is GaIr2O4 after structural relaxation, with properties calculated at the PBE level.

```
data_GaIr2O4
_cell_length_a 6.2245
_cell_length_b 6.2245
_cell_length_c 6.2245
_cell_angle_alpha 60.00
_cell_angle_beta 60.00
_cell_angle_gamma 60.00
_space_group_name_H-M_alt 'P 1'
_space_group_IT_number 1
loop_
_space_group_symop_operation_xyz
'x,y,z'
loop_
_atom_site_label
_atom_site_type_symbol
_atom_site_fract_x
_atom_site_fract_y
_atom_site_fract_z
Ga1 Ga 0.1250 0.1250 0.1250
Ga2 Ga 0.8750 0.8750 0.8750
Ir1 Ir 0.0000 0.5000 0.5000
Ir2 Ir 0.5000 0.0000 0.5000
Ir3 Ir 0.5000 0.5000 0.0000
Ir4 Ir 0.5000 0.5000 0.5000
O1 O 0.2630 0.2630 0.2630
O2 O 0.2630 0.2630 0.7111
O3 O 0.2630 0.7111 0.2630
O4 O 0.2889 0.7370 0.7370
O5 O 0.7111 0.2630 0.2630
O6 O 0.7370 0.2889 0.7370
O7 O 0.7370 0.7370 0.2889
O8 O 0.7370 0.7370 0.7370
```

Computed properties:
uncorrected energy = -89.01 eV/cell
symmetry = Fd-3m
volume = 12.181 Å³ per atom

***

Record 10
Below is GaIr3O6 after structural relaxation, with properties calculated at the PBE level.

```
data_GaIr3O6
_cell_length_a 6.6429
_cell_length_b 6.6429
_cell_length_c 5.1382
_cell_angle_alpha 90.00
_cell_angle_beta 90.00
_cell_angle_gamma 104.12
_space_group_name_H-M_alt 'P 1'
_space_group_IT_number 1
loop_
_space_group_symop_operation_xyz
'x,y,z'
loop_
_atom_site_label
_atom_site_type_symbol
_atom_site_fract_x
_atom_site_fract_y
_atom_site_fract_z
Ga1 Ga 0.1739 0.8261 0.5000
Ga2 Ga 0.8261 0.1739 0.0000
Ir1 Ir 0.0880 0.3230 0.4520
Ir2 Ir 0.3230 0.0880 0.9520
Ir3 Ir 0.3795 0.6205 0.9504
Ir4 Ir 0.6205 0.3795 0.4504
Ir5 Ir 0.6770 0.9120 0.4520
Ir6 Ir 0.9120 0.6770 0.9520
O1 O 0.0427 0.9573 0.7508
O2 O 0.1244 0.5737 0.7084
O3 O 0.2080 0.7920 0.1511
O4 O 0.3148 0.3657 0.1813
O5 O 0.3657 0.3148 0.6813
O6 O 0.4263 0.8756 0.7084
O7 O 0.5737 0.1244 0.2084
O8 O 0.6343 0.6852 0.1813
O9 O 0.6852 0.6343 0.6813
O10 O 0.7920 0.2080 0.6511
O11 O 0.8756 0.4263 0.2084
O12 O 0.9573 0.0427 0.2508
```

Computed properties:
uncorrected energy = -127.88 eV/cell
symmetry = Cmc2_1
volume = 10.994 Å³ per atom

***

Record 11
Below is GaIrOs2 after structural relaxation, with properties calculated at the PBE level.

```
data_GaIrOs2
_cell_length_a 4.3642
_cell_length_b 4.3642
_cell_length_c 4.3642
_cell_angle_alpha 60.00
_cell_angle_beta 60.00
_cell_angle_gamma 60.00
_space_group_name_H-M_alt 'P 1'
_space_group_IT_number 1
loop_
_space_group_symop_operation_xyz
'x,y,z'
loop_
_atom_site_label
_atom_site_type_symbol
_atom_site_fract_x
_atom_site_fract_y
_atom_site_fract_z
Ga1 Ga 0.0000 0.0000 0.0000
Ir1 Ir 0.2500 0.2500 0.2500
Os1 Os 0.5000 0.5000 0.5000
Os2 Os 0.7500 0.7500 0.7500
```

Computed properties:
uncorrected energy = -32.66 eV/cell
symmetry = F-43m
volume = 14.694 Å³ per atom

***

Record 12
Below is Ga2IrOs after structural relaxation, with properties calculated at the PBE level.

```
data_Ga2IrOs
_cell_length_a 4.3882
_cell_length_b 4.3882
_cell_length_c 4.3882
_cell_angle_alpha 60.00
_cell_angle_beta 60.00
_cell_angle_gamma 60.00
_space_group_name_H-M_alt 'P 1'
_space_group_IT_number 1
loop_
_space_group_symop_operation_xyz
'x,y,z'
loop_
_atom_site_label
_atom_site_type_symbol
_atom_site_fract_x
_atom_site_fract_y
_atom_site_fract_z
Ga1 Ga 0.0000 0.0000 0.0000
Ga2 Ga 0.2500 0.2500 0.2500
Ir1 Ir 0.7500 0.7500 0.7500
Os1 Os 0.5000 0.5000 0.5000
```

Computed properties:
uncorrected energy = -25.04 eV/cell
symmetry = F-43m
volume = 14.938 Å³ per atom